1.
A plane-wave DFT calculation with PBE was carried out for crystalline BeTlBr at its relaxed geometry.

abc: 5.2427 5.2427 5.2427
angles: 60.00 60.00 60.00
Atoms (fractional coordinates):
Be: 0.0000 0.0000 0.0000
Br: 0.5000 0.5000 0.5000
Tl: 0.7500 0.7500 0.7500

Calculated values
Energy relative to the elements, uncorrected: 0.56 eV/atom
Crystal system: cubic
Space group: F-43m (216)
Calculated total energy: -6.10 eV for the cell shown

---

2.
A plane-wave DFT calculation with PBE was carried out for crystalline BeTl2Br at its relaxed geometry.

abc: 5.2496 4.2882 6.6696
angles: 50.38 90.00 90.00
Atoms (fractional coordinates):
Tl: 0.5000 0.4992 0.3749
Tl: 0.0000 0.0006 0.8751
Br: 0.5000 0.5000 0.8748
Be: 0.0000 0.5003 0.3752

Calculated values
Energy relative to the elements, uncorrected: 0.09 eV/atom
Crystal system: monoclinic
Space group: Pm (6)
Calculated total energy: -9.76 eV for the cell shown

---

3.
A plane-wave DFT calculation with PBE was carried out for crystalline BeTl2Br at its relaxed geometry.

abc: 3.3000 3.3000 9.6573
angles: 90.00 90.00 90.00
Atoms (fractional coordinates):
Br: 0.5000 0.5000 0.6519
Tl: 0.0000 0.0000 0.0165
Tl: 0.5000 0.5000 0.3074
Be: 0.0000 0.0000 0.5243

Calculated values
Energy relative to the elements, uncorrected: 0.22 eV/atom
Crystal system: tetragonal
Space group: P4mm (99)
Calculated total energy: -9.25 eV for the cell shown

---

4.
A plane-wave DFT calculation with PBE was carried out for crystalline BeTlBr at its relaxed geometry.

abc: 8.7036 8.2923 3.5913
angles: 84.31 71.45 24.24
Atoms (fractional coordinates):
Br: 0.3953 0.3953 0.6047
Tl: 0.6225 0.6225 0.3775
Be: 0.9822 0.9822 0.0178

Calculated values
Energy relative to the elements, uncorrected: 0.07 eV/atom
Crystal system: orthorhombic
Space group: Fmm2 (42)
Calculated total energy: -7.55 eV for the cell shown

---

5.
A plane-wave DFT calculation with PBE was carried out for crystalline BeTlBr at its relaxed geometry.

abc: 8.0240 8.0240 8.0240
angles: 156.48 156.48 33.51
Atoms (fractional coordinates):
Br: 0.4023 0.4023 0.0000
Be: 0.9753 0.9753 0.0000
Tl: 0.6224 0.6224 0.0000

Calculated values
Energy relative to the elements, uncorrected: 0.28 eV/atom
Crystal system: tetragonal
Space group: I4mm (107)
Calculated total energy: -6.93 eV for the cell shown

---

6.
A plane-wave DFT calculation with PBE was carried out for crystalline BeTl2Br at its relaxed geometry.

abc: 5.8044 5.8044 5.8044
angles: 129.97 129.97 73.45
Atoms (fractional coordinates):
Tl: 0.5000 0.5000 0.0000
Tl: 0.0000 0.0000 0.0000
Br: 0.7500 0.2500 0.5000
Be: 0.2500 0.7500 0.5000

Calculated values
Energy relative to the elements, uncorrected: 0.35 eV/atom
Crystal system: tetragonal
Space group: I4/mmm (139)
Calculated total energy: -8.71 eV for the cell shown

---

7.
A plane-wave DFT calculation with PBE was carried out for crystalline Be3TlBr at its relaxed geometry.

abc: 4.5891 4.5891 4.5891
angles: 90.00 90.00 90.00
Atoms (fractional coordinates):
Be: 0.5000 0.0000 0.0000
Be: 0.0000 0.5000 0.0000
Be: 0.0000 0.0000 0.5000
Br: 0.0000 0.0000 0.0000
Tl: 0.5000 0.5000 0.5000

Calculated values
Energy relative to the elements, uncorrected: 1.35 eV/atom
Crystal system: cubic
Space group: Pm-3m (221)
Calculated total energy: -8.46 eV for the cell shown

---

8.
A plane-wave DFT calculation with PBE was carried out for crystalline Be3TlBr at its relaxed geometry.

abc: 4.6953 4.6953 4.6953
angles: 90.00 90.00 90.00
Atoms (fractional coordinates):
Be: 0.0000 0.0000 0.5000
Be: 0.0000 0.5000 0.0000
Be: 0.5000 0.0000 0.0000
Tl: 0.0000 0.0000 0.0000
Br: 0.5000 0.5000 0.5000

Calculated values
Energy relative to the elements, uncorrected: 0.88 eV/atom
Crystal system: cubic
Space group: Pm-3m (221)
Calculated total energy: -10.84 eV for the cell shown

---

Question: Number 5 is which compound?
Answer: BeTlBr

---

Question: The lowest energy relative to the elements, uncorrected belongs to which entry?
Answer: number 4

---

Question: Look up the energy relative to the elements, uncorrected of the third one.
Answer: 0.22 eV/atom